Record 1
Computed, not measured: a geometry-optimized GdAl22O34 structure at the PBEsol level of DFT.

Properties
Formation energy (no corrections) in eV/atom: -3.015

Lattice parameters (Å, degrees): 5.609 9.747 11.671 98.00 103.61 90.18
Sites, in units of the cell vectors:
Gd 0.500 0.500 0.500
Al 0.000 0.000 0.000
Al 0.604 0.704 0.218
Al 0.854 0.951 0.217
Al 0.355 0.952 0.216
Al 0.500 0.500 0.000
Al 0.475 0.826 0.951
Al 0.331 0.777 0.650
Al 0.171 0.725 0.353
Al 0.103 0.202 0.214
Al 0.346 0.449 0.206
Al 0.855 0.451 0.217
Al 0.025 0.676 0.053
Al 0.975 0.324 0.947
Al 0.145 0.549 0.783
Al 0.654 0.551 0.794
Al 0.897 0.798 0.786
Al 0.829 0.275 0.647
Al 0.669 0.223 0.350
Al 0.525 0.174 0.049
Al 0.645 0.048 0.784
Al 0.396 0.296 0.782
Al 0.146 0.049 0.783
O 0.861 0.952 0.715
O 0.555 0.851 0.113
O 0.455 0.640 0.901
O 0.716 0.903 0.899
O 0.187 0.906 0.901
O 0.367 0.455 0.710
O 0.613 0.695 0.707
O 0.110 0.703 0.712
O 0.358 0.953 0.707
O 0.293 0.713 0.501
O 0.148 0.543 0.294
O 0.389 0.798 0.289
O 0.890 0.798 0.295
O 0.051 0.352 0.109
O 0.313 0.593 0.100
O 0.784 0.594 0.105
O 0.047 0.860 0.101
O 0.953 0.140 0.899
O 0.216 0.406 0.895
O 0.687 0.407 0.900
O 0.949 0.648 0.891
O 0.110 0.202 0.705
O 0.852 0.457 0.706
O 0.611 0.202 0.711
O 0.707 0.287 0.499
O 0.890 0.297 0.288
O 0.642 0.047 0.293
O 0.387 0.305 0.293
O 0.633 0.545 0.290
O 0.813 0.094 0.099
O 0.284 0.097 0.101
O 0.545 0.360 0.099
O 0.445 0.149 0.887
O 0.139 0.048 0.285

Record 2
Computed, not measured: a geometry-optimized NiPtRh structure at the PBEsol level of DFT.

Properties
Energy of formation in meV per atom: 19.4
E above lowest polymorph in meV per atom: 23

Lattice parameters (Å, degrees): 2.672 2.672 6.395 90.00 90.00 120.00
Sites, in units of the cell vectors:
Ni 0.000 0.000 0.006
Rh 0.667 0.333 0.318
Pt 0.333 0.667 0.676

Record 3
Computed, not measured: a geometry-optimized TaCoMo structure at the PBEsol level of DFT.

Properties
Energy of formation in meV per atom: 1035.9
E above lowest polymorph in meV per atom: 1030

Lattice parameters (Å, degrees): 4.155 4.155 4.155 60.00 60.00 60.00
Sites, in units of the cell vectors:
Mo 0.250 0.250 0.250
Co 0.500 0.500 0.500
Ta 0.000 0.000 0.000

Record 4
Computed, not measured: a geometry-optimized KNbCu2S4 structure at the PBEsol level of DFT.

Properties
Formation energy (no corrections) in eV/atom: -0.834

Lattice parameters (Å, degrees): 5.456 7.311 9.444 90.00 106.79 90.00
Sites, in units of the cell vectors:
K 0.570 0.250 0.641
K 0.929 0.750 0.359
Nb 0.612 0.250 0.226
Nb 0.386 0.750 0.774
Cu 0.479 0.500 0.000
Cu 0.479 0.000 0.000
Cu 0.105 0.250 0.211
Cu 0.893 0.750 0.789
S 0.743 0.250 0.011
S 0.732 0.750 0.989
S 0.972 0.250 0.423
S 0.549 0.750 0.577
S 0.143 0.496 0.788
S 0.355 0.504 0.212
S 0.143 0.004 0.788
S 0.355 0.996 0.212